[1]
# TaMn2Pt8 PBE-GGA optimized geometry
# DFT formation energy: -461 meV/atom
# total energy: -83.59 eV/cell
# total moment: 7.88 μB/f.u.
data_TaMn2Pt8
_chemical_formula_sum 'Ta1 Mn2 Pt8'
_cell_length_a 7.3620
_cell_length_b 7.3620
_cell_length_c 6.3089
_cell_angle_alpha 106.16
_cell_angle_beta 106.16
_cell_angle_gamma 31.38
_space_group_name_H-M_alt 'P 1'
_space_group_IT_number 1
_space_group_name_Hall 'P 1'
loop_
_atom_site_label
_atom_site_type_symbol
_atom_site_fract_x
_atom_site_fract_y
_atom_site_fract_z
Ta1 Ta 0.0000 0.0000 0.0000
Mn1 Mn 0.2768 0.2768 0.3552
Mn2 Mn 0.7232 0.7232 0.6448
Pt1 Pt 0.0986 0.0986 0.4500
Pt2 Pt 0.1814 0.1814 0.9163
Pt3 Pt 0.3619 0.3619 0.8143
Pt4 Pt 0.4555 0.4555 0.2730
Pt5 Pt 0.5445 0.5445 0.7270
Pt6 Pt 0.6381 0.6381 0.1857
Pt7 Pt 0.8186 0.8186 0.0837
Pt8 Pt 0.9014 0.9014 0.5500

[2]
# TaMn2Pt PBE-GGA optimized geometry
# DFT formation energy: -85 meV/atom
# energy relative to the lowest polymorph listed for this composition: 0.209 eV per atom
# total energy: -36.57 eV/cell
# total moment: 6.01 μB/f.u.
data_TaMn2Pt
_chemical_formula_sum 'Ta1 Mn2 Pt1'
_cell_length_a 4.7686
_cell_length_b 4.7686
_cell_length_c 4.8585
_cell_angle_alpha 102.18
_cell_angle_beta 102.18
_cell_angle_gamma 34.35
_space_group_name_H-M_alt 'P 1'
_space_group_IT_number 1
_space_group_name_Hall 'P 1'
loop_
_atom_site_label
_atom_site_type_symbol
_atom_site_fract_x
_atom_site_fract_y
_atom_site_fract_z
Ta1 Ta 0.0000 0.0000 0.0000
Mn1 Mn 0.2460 0.2460 0.7509
Mn2 Mn 0.7540 0.7540 0.2491
Pt1 Pt 0.5000 0.5000 0.5000

[3]
# TaMn2Pt PBE-GGA optimized geometry
# DFT formation energy: -277 meV/atom
# energy relative to the lowest polymorph listed for this composition: 0.018 eV per atom
# total energy: -37.34 eV/cell
# total moment: 0.98 μB/f.u.
data_TaMn2Pt
_chemical_formula_sum 'Ta1 Mn2 Pt1'
_cell_length_a 4.8227
_cell_length_b 4.8227
_cell_length_c 4.8227
_cell_angle_alpha 133.75
_cell_angle_beta 133.75
_cell_angle_gamma 67.48
_space_group_name_H-M_alt 'P 1'
_space_group_IT_number 1
_space_group_name_Hall 'P 1'
loop_
_atom_site_label
_atom_site_type_symbol
_atom_site_fract_x
_atom_site_fract_y
_atom_site_fract_z
Ta1 Ta 0.0000 0.0000 0.0000
Mn1 Mn 0.5000 0.5000 0.0000
Mn2 Mn 0.7500 0.2500 0.5000
Pt1 Pt 0.2500 0.7500 0.5000

Which of these has the lowest total energy? TaMn2Pt8

total moment of number 2 (TaMn2Pt)? 6.01 μB/f.u.

What is the total energy in the third record? -37.34 eV/cell

Which formula does entry 2 have? TaMn2Pt